No. 1
This record from the Alexandria database describes an optimized crystal structure of EuMgSnAu. The functional is GGA-PBE.

a b c (Å): 5.145 5.145 5.145
angles (deg): 60.00 60.00 60.00
Each line ends with the local moment (μB).
Fractional coordinates of all 4 atoms:
Sn1 0.250 0.250 0.250  -0.02
Mg1 0.500 0.500 0.500  0.00
Eu1 0.000 0.000 0.000  6.74
Au1 0.750 0.750 0.750  -0.01

Results
The mass density comes out at 8482 kg/m3. Its density of states at the Fermi level is 9.3 states/eV/cell. The space group is F-43m. As for the energy of formation from the pure elements: -547 meV/atom.

***

No. 2
This record from the Alexandria database describes an optimized crystal structure of Te2PPbN. The functional is GGA-PBE.

a b c (Å): 6.135 6.135 3.263
angles (deg): 90.00 90.00 90.00
Fractional coordinates of all 5 atoms:
Pb1 0.500 0.500 0.500
Te1 0.500 0.000 0.000
Te2 0.000 0.500 0.000
P1 0.000 0.000 0.000
N1 0.000 0.000 0.500

Results
The mass density comes out at 6860 kg/m3. For the energy relative to the lowest polymorph listed for this composition, the calculation gives 0 meV per atom. Its energy relative to the elements, uncorrected is 0.3322 eV per atom. Its density of states at the Fermi level is 0.8 states/eV/cell. The space group is P4/mmm.

***

Values of DFT total energy, in order: -21.3 -22.1, all in eV/f.u..